Record 1
Dy3Ho6Tm2Zr | PBE | relaxed

a b c (Å): 6.0422 6.0422 11.5562
angles (deg): 94.97 94.97 119.91
With the nearest neighbours (Å) after each atom.
Sites, in units of the cell vectors:
Ho: 0.0810 0.4082 0.2439  1 Zr 3.41, 6 Ho 3.42-3.53, 2 Tm 3.44, 3 Dy 3.53-3.57
Ho: 0.4082 0.0810 0.2439  1 Zr 3.41, 6 Ho 3.42-3.53, 2 Tm 3.44, 3 Dy 3.53-3.57
Ho: 0.9190 0.5918 0.7561  1 Zr 3.41, 6 Ho 3.42-3.53, 2 Tm 3.44, 3 Dy 3.53-3.57
Ho: 0.7541 0.7541 0.2434  1 Zr 3.40, 6 Ho 3.43-3.53, 2 Tm 3.44, 3 Dy 3.54-3.57
Ho: 0.2459 0.2459 0.7566  1 Zr 3.40, 6 Ho 3.43-3.53, 2 Tm 3.44, 3 Dy 3.54-3.57
Ho: 0.5918 0.9190 0.7561  1 Zr 3.41, 6 Ho 3.42-3.53, 2 Tm 3.44, 3 Dy 3.53-3.57
Tm: 0.6669 0.3331 0.0000  6 Ho 3.44, 3 Zr 3.48-3.49, 3 Tm 3.49
Tm: 0.3331 0.6669 0.0000  6 Ho 3.44, 3 Zr 3.48-3.49, 3 Tm 3.49
Dy: 0.5000 0.5000 0.5000  6 Dy 3.49, 6 Ho 3.53-3.57
Dy: 0.1666 0.8334 0.5000  6 Dy 3.49, 6 Ho 3.53-3.57
Dy: 0.8334 0.1666 0.5000  6 Dy 3.49, 6 Ho 3.53-3.57
Zr: 0.0000 0.0000 0.0000  6 Ho 3.40-3.41, 6 Tm 3.48-3.49

The calculation puts the formation energy at 0.0404 eV/atom. Its space group is No. 12. The value obtained for the density of states at the Fermi level is 14.88 states/eV/cell.



Record 2
DyHoTmZr | PBE | relaxed

a b c (Å): 5.4678 5.4678 5.4678
angles (deg): 60.00 60.00 60.00
With the nearest neighbours (Å) after each atom.
Sites, in units of the cell vectors:
Tm: 0.5000 0.5000 0.5000  4 Zr 3.35, 4 Dy 3.35
Dy: 0.7500 0.7500 0.7500  4 Ho 3.35, 4 Tm 3.35
Ho: 0.0000 0.0000 0.0000  4 Dy 3.35, 4 Zr 3.35
Zr: 0.2500 0.2500 0.2500  4 Ho 3.35, 4 Tm 3.35

The calculation puts the formation energy at 0.2071 eV/atom. Its space group is No. 216. The value obtained for the density of states at the Fermi level is 6.48 states/eV/cell.



no.,M_tot (Bohr magnetons per cell),raw total energy (eV per atom)
1,0.0,-4.857
2,2.8,-5.343